(1)
Here is an optimized crystal structure of Er5Cd2OsRh2 from Alexandria. Energies are from PBE.

Total magnetization ... 0.000 μB per atom
Uncorrected energy ... -110.747 eV per cell
Formation energy ... -479.7 meV per atom
D(E_F) ... 11.05 states/eV/cell

Cell lengths 3.5133, 11.4774, 11.4774 Å; angles 90.00, 90.00, 90.00 degrees
Closest atoms and distances in Å follow each position.
Atoms (fractional coordinates):
Rh (0.0000, 0.8688, 0.3688)  6 Er 2.76-2.77, 1 Cd 3.09
Cd (0.0000, 0.6783, 0.1783)  1 Rh 3.09, 6 Er 3.39-3.43
Rh (0.0000, 0.6312, 0.8688)  6 Er 2.76-2.77, 1 Cd 3.09
Er (0.5000, 0.8057, 0.9341)  2 Rh 2.77, 2 Os 2.94
Er (0.5000, 0.0000, 0.5000)  4 Rh 2.76
Er (0.5000, 0.3057, 0.5659)  2 Rh 2.77, 2 Os 2.94
Er (0.5000, 0.5659, 0.6943)  2 Rh 2.77, 2 Os 2.94
Er (0.5000, 0.9341, 0.1943)  2 Rh 2.77, 2 Os 2.94
Er (0.5000, 0.0659, 0.8057)  2 Rh 2.77, 2 Os 2.94
Er (0.5000, 0.6943, 0.4341)  2 Rh 2.77, 2 Os 2.94
Os (0.0000, 0.5000, 0.5000)  8 Er 2.94
Cd (0.0000, 0.3217, 0.8217)  1 Rh 3.09, 6 Er 3.39-3.43
Cd (0.0000, 0.1783, 0.3217)  1 Rh 3.09, 6 Er 3.39-3.43
Os (0.0000, 0.0000, 0.0000)  8 Er 2.94
Rh (0.0000, 0.1312, 0.6312)  6 Er 2.76-2.77, 1 Cd 3.09
Rh (0.0000, 0.3688, 0.1312)  6 Er 2.76-2.77, 1 Cd 3.09
Er (0.5000, 0.4341, 0.3057)  2 Rh 2.77, 2 Os 2.94
Cd (0.0000, 0.8217, 0.6783)  1 Rh 3.09, 6 Er 3.39-3.43
Er (0.5000, 0.5000, 0.0000)  4 Rh 2.76
Er (0.5000, 0.1943, 0.0659)  2 Rh 2.77, 2 Os 2.94

***

(2)
Here is an optimized crystal structure of GdRhPb from Alexandria. Energies are from PBE.

Total magnetization ... 2.348 μB per atom
Uncorrected energy ... -26.650 eV per cell
Formation energy ... -503.2 meV per atom
D(E_F) ... 2.37 states/eV/cell

Cell lengths 3.4695, 4.7808, 4.7808 Å; angles 120.00, 90.00, 90.00 degrees
Closest atoms and distances in Å follow each position.
Atoms (fractional coordinates):
Rh (0.1672, 0.0000, 0.0000)  3 Pb 2.76
Gd (0.6664, 0.6667, 0.3333)  6 Rh 3.26, 6 Pb 3.26, 2 Gd 3.47
Pb (0.1663, 0.3333, 0.6667)  3 Rh 2.76

***

(3)
Here is an optimized crystal structure of CaTm2In3 from Alexandria. Energies are from PBE.

Total magnetization ... 0.000 μB per atom
Uncorrected energy ... -21.771 eV per cell
Formation energy ... -435.1 meV per atom
D(E_F) ... 2.97 states/eV/cell

Cell lengths 3.6103, 3.6103, 12.2151 Å; angles 90.00, 90.00, 90.00 degrees
Closest atoms and distances in Å follow each position.
Atoms (fractional coordinates):
Ca (0.5000, 0.5000, 0.5000)  8 In 3.32, 4 Ca 3.61
Tm (0.5000, 0.5000, 0.1639)  8 In 3.23-3.24, 4 Tm 3.61
Tm (0.5000, 0.5000, 0.8361)  8 In 3.23-3.24, 4 Tm 3.61
In (0.0000, 0.0000, 0.3259)  4 Tm 3.23, 4 Ca 3.32, 4 In 3.61
In (0.0000, 0.0000, 0.0000)  8 Tm 3.24, 4 In 3.61
In (0.0000, 0.0000, 0.6741)  4 Tm 3.23, 4 Ca 3.32, 4 In 3.61

***

(4)
Here is an optimized crystal structure of SmMn8Ni4 from Alexandria. Energies are from PBE.

Total magnetization ... 0.202 μB per atom
Uncorrected energy ... -101.267 eV per cell
Formation energy ... -5.1 meV per atom
D(E_F) ... 15.16 states/eV/cell

Cell lengths 6.4300, 6.4300, 6.4300 Å; angles 98.11, 98.11, 135.88 degrees
Closest atoms and distances in Å follow each position.
Atoms (fractional coordinates):
Ni (0.3500, 0.0000, 0.3500)  1 Ni 2.53, 8 Mn 2.55-2.60
Mn (0.0000, 0.5000, 0.0000)  6 Mn 2.41-2.43, 4 Ni 2.57
Ni (0.0000, 0.6500, 0.6500)  1 Ni 2.53, 8 Mn 2.55-2.60
Mn (0.5000, 0.2629, 0.7629)  4 Mn 2.43, 4 Ni 2.55-2.60
Ni (0.0000, 0.3500, 0.3500)  1 Ni 2.53, 8 Mn 2.55-2.60
Mn (0.2629, 0.5000, 0.7629)  4 Mn 2.43, 4 Ni 2.55-2.60
Mn (0.0000, 0.0000, 0.5000)  6 Mn 2.41-2.43, 4 Ni 2.57
Mn (0.5000, 0.7371, 0.2371)  4 Mn 2.43, 4 Ni 2.55-2.60
Mn (0.7371, 0.5000, 0.2371)  4 Mn 2.43, 4 Ni 2.55-2.60
Mn (0.5000, 0.5000, 0.5000)  6 Mn 2.41-2.43, 4 Ni 2.57
Ni (0.6500, 0.0000, 0.6500)  1 Ni 2.53, 8 Mn 2.55-2.60
Sm (0.0000, 0.0000, 0.0000)  4 Ni 2.95, 16 Mn 3.13-3.22
Mn (0.5000, 0.0000, 0.0000)  6 Mn 2.41-2.43, 4 Ni 2.57

***

(5)
Here is an optimized crystal structure of MnMoSe4 from Alexandria. Energies are from PBE.

Total magnetization ... 0.165 μB per atom
Uncorrected energy ... -36.875 eV per cell
D(E_F) ... 0.37 states/eV/cell

Cell lengths 3.2818, 7.4799, 5.8605 Å; angles 104.15, 90.00, 102.67 degrees
Closest atoms and distances in Å follow each position.
Atoms (fractional coordinates):
Se (0.1278, 0.2556, 0.3934)  1 Mn 2.42, 2 Mo 2.50
Mo (0.5052, 0.0104, 0.4457)  6 Se 2.46-2.63
Mn (0.9950, 0.9901, 0.0505)  6 Se 2.42-2.49
Se (0.5923, 0.1846, 0.8971)  2 Mn 2.48, 1 Mo 2.63
Se (0.9035, 0.8069, 0.6297)  1 Mn 2.49, 2 Mo 2.62
Se (0.3761, 0.7523, 0.0835)  2 Mn 2.43, 1 Mo 2.46

***

(6)
Here is an optimized crystal structure of TlZn4 from Alexandria. Energies are from PBE.

Total magnetization ... 0.000 μB per atom
Uncorrected energy ... -12.873 eV per cell
Formation energy ... 205.1 meV per atom
D(E_F) ... 2.49 states/eV/cell

Cell lengths 5.0937, 5.0937, 7.6998 Å; angles 90.00, 90.00, 90.00 degrees
Closest atoms and distances in Å follow each position.
Atoms (fractional coordinates):
Tl (0.0000, 0.0000, 0.0000)  12 Zn 3.05
Zn (0.7489, 0.0000, 0.6410)  4 Zn 2.54-2.83
Zn (0.0000, 0.7489, 0.3590)  4 Zn 2.54-2.83
Zn (0.5000, 0.7511, 0.1410)  4 Zn 2.54-2.83
Zn (0.7511, 0.5000, 0.8590)  4 Zn 2.54-2.83
Tl (0.5000, 0.5000, 0.5000)  12 Zn 3.05
Zn (0.0000, 0.2511, 0.3590)  4 Zn 2.54-2.83
Zn (0.5000, 0.2489, 0.1410)  4 Zn 2.54-2.83
Zn (0.2511, 0.0000, 0.6410)  4 Zn 2.54-2.83
Zn (0.2489, 0.5000, 0.8590)  4 Zn 2.54-2.83